Entry 1:
Here is an optimized crystal structure of NpInTe2O from Alexandria via LeMat-Bulk. Energies are from PBE.

Lattice parameters (Å, degrees): 4.0261 4.0261 16.6308 90.00 90.00 90.00
Closest atoms and distances in Å follow each position.
Space group P4/nmm (No. 129, origin choice 2)
Asymmetric unit:
Np  0.2500  0.2500  0.0702 (multiplicity 2)  4 O 2.33
In  0.2500  0.2500  0.6517 (multiplicity 2)  5 Te 2.95-2.98
Te  0.2500  0.2500  0.4008 (multiplicity 2)  4 In 2.98
Te  0.2500  0.2500  0.8293 (multiplicity 2)  1 In 2.95, 4 Np 3.30
O  0.2500  0.7500  0.0000 (multiplicity 2)  4 Np 2.33

Mass density   7.7 g/cm3
Calculated volume   27.0 Å³ per atom
Total magnetic moment   6.97 Bohr magnetons per cell
Energy relative to the elements, uncorrected   -1.28 eV per atom
Energy   -0.49000 Ry per atom
Crystal system   tetragonal

---

Entry 2:
Here is an optimized crystal structure of NpInTeO6 from Alexandria via LeMat-Bulk. Energies are from PBE.

Lattice parameters (Å, degrees): 5.5633 5.5633 9.4630 90.00 90.00 120.00
Closest atoms and distances in Å follow each position.
Space group P-31c (No. 163)
Asymmetric unit:
Np  0.3333  0.6667  0.2500 (multiplicity 2)  6 O 2.16
In  0.3333  0.6667  0.7500 (multiplicity 2)  6 O 2.22
Te  0.0000  0.0000  0.0000 (multiplicity 2)  6 O 2.21
O  0.0084  0.3370  0.1278 (multiplicity 12)  1 Np 2.16, 1 Te 2.21, 1 In 2.22

Mass density   7.5 g/cm3
Calculated volume   14.1 Å³ per atom
Total magnetic moment   4.00 Bohr magnetons per cell
Energy relative to the elements, uncorrected   -1.75 eV per atom
Energy   -0.52513 Ry per atom
Crystal system   trigonal

---

Entry 3:
Here is an optimized crystal structure of NpTlInO6 from Alexandria via LeMat-Bulk. Energies are from PBE.

Lattice parameters (Å, degrees): 5.5722 5.5722 9.4938 90.00 90.00 120.00
Closest atoms and distances in Å follow each position.
Space group P-31c (No. 163)
Asymmetric unit:
Np  0.3333  0.6667  0.2500 (multiplicity 2)  6 O 2.09
Tl  0.3333  0.6667  0.7500 (multiplicity 2)  6 O 2.30
In  0.0000  0.0000  0.0000 (multiplicity 2)  6 O 2.22
O  0.0297  0.3479  0.1274 (multiplicity 12)  1 Np 2.09, 1 In 2.22, 1 Tl 2.30

Mass density   8.5 g/cm3
Calculated volume   14.2 Å³ per atom
Total magnetic moment   2.00 Bohr magnetons per cell
Energy relative to the elements, uncorrected   -1.73 eV per atom
Energy   -0.51713 Ry per atom
Crystal system   trigonal

---

Entry 4:
Here is an optimized crystal structure of NpTlIn2O8 from Alexandria via LeMat-Bulk. Energies are from PBE.

Lattice parameters (Å, degrees): 4.9750 6.8814 4.9778 90.00 92.47 90.00
Closest atoms and distances in Å follow each position.
Space group P2/m (No. 10)
Asymmetric unit:
Np  0.0000  0.0000  0.0000 (multiplicity 1)  6 O 2.02-2.06
Tl  0.0000  0.5000  0.0000 (multiplicity 1)  2 O 2.11
In  0.5000  0.2520  0.5000 (multiplicity 2)  6 O 2.16-2.23
O  0.1930  0.2133  0.8082 (multiplicity 4)  1 Np 2.02, 1 In 2.23
O  0.2992  0.0000  0.3005 (multiplicity 2)  1 Np 2.06, 2 In 2.21
O  0.3058  0.5000  0.3073 (multiplicity 2)  1 Tl 2.11, 2 In 2.16

Mass density   7.8 g/cm3
Calculated volume   14.2 Å³ per atom
Total magnetic moment   0.00 Bohr magnetons per cell
Energy relative to the elements, uncorrected   -1.68 eV per atom
Energy   -0.49356 Ry per atom
Crystal system   monoclinic

---

Entry 5:
Here is an optimized crystal structure of NpTl2InO8 from Alexandria via LeMat-Bulk. Energies are from PBE.

Lattice parameters (Å, degrees): 5.1481 6.7678 5.1523 90.00 93.36 90.00
Closest atoms and distances in Å follow each position.
Space group P2/m (No. 10)
Asymmetric unit:
Np  0.0000  0.0000  0.0000 (multiplicity 1)  6 O 2.01-2.10
Tl  0.5000  0.2549  0.5000 (multiplicity 2)  6 O 2.20-2.43
In  0.0000  0.5000  0.0000 (multiplicity 1)  6 O 2.09-2.29
O  0.1774  0.2230  0.8247 (multiplicity 4)  1 Np 2.01
O  0.2946  0.5000  0.2969 (multiplicity 2)  1 In 2.09, 2 Tl 2.20
O  0.2955  0.0000  0.2980 (multiplicity 2)  1 Np 2.10, 2 Tl 2.24

Mass density   8.2 g/cm3
Calculated volume   14.9 Å³ per atom
Total magnetic moment   0.00 Bohr magnetons per cell
Energy relative to the elements, uncorrected   -1.47 eV per atom
Energy   -0.47628 Ry per atom
Crystal system   monoclinic

---

Entry 6:
Here is an optimized crystal structure of TmNpIn2O8 from Alexandria via LeMat-Bulk. Energies are from PBE.

Lattice parameters (Å, degrees): 7.0344 7.1798 6.7329 90.00 90.00 90.00
Closest atoms and distances in Å follow each position.
Space group Cmmm (No. 65)
Asymmetric unit:
Tm  0.0000  0.0000  0.0000 (multiplicity 2)  6 O 2.15-2.27
Np  0.0000  0.0000  0.5000 (multiplicity 2)  6 O 2.00-2.10
In  0.0000  0.5000  0.2426 (multiplicity 4)  6 O 2.13-2.29
O  0.0000  0.1828  0.2750 (multiplicity 8)  1 Np 2.00
O  0.1939  0.5000  0.0000 (multiplicity 4)  2 In 2.13, 1 Tm 2.15
O  0.2018  0.5000  0.5000 (multiplicity 4)  1 Np 2.10, 2 In 2.24

Mass density   7.5 g/cm3
Calculated volume   14.2 Å³ per atom
Total magnetic moment   0.14 Bohr magnetons per cell
Energy relative to the elements, uncorrected   -2.32 eV per atom
Energy   -0.55368 Ry per atom
Crystal system   orthorhombic

---

Entry 7:
Here is an optimized crystal structure of Tm2NpInO8 from Alexandria via LeMat-Bulk. Energies are from PBE.

Lattice parameters (Å, degrees): 6.8894 7.2024 6.9045 90.00 90.00 90.00
Closest atoms and distances in Å follow each position.
Space group Cmmm (No. 65)
Asymmetric unit:
Tm  0.0000  0.0000  0.2408 (multiplicity 4)  6 O 2.17-2.29
Np  0.0000  0.5000  0.5000 (multiplicity 2)  6 O 2.01-2.05
In  0.0000  0.5000  0.0000 (multiplicity 2)  2 O 2.06
O  0.0000  0.3123  0.2777 (multiplicity 8)  1 Np 2.05, 1 Tm 2.26
O  0.2015  0.0000  0.0000 (multiplicity 4)  1 In 2.06, 2 Tm 2.17
O  0.2077  0.0000  0.5000 (multiplicity 4)  1 Np 2.01

Mass density   7.9 g/cm3
Calculated volume   14.3 Å³ per atom
Total magnetic moment   0.00 Bohr magnetons per cell
Energy relative to the elements, uncorrected   -2.78 eV per atom
Energy   -0.59788 Ry per atom
Crystal system   orthorhombic

---

Entry 8:
Here is an optimized crystal structure of NpUInO6 from Alexandria via LeMat-Bulk. Energies are from PBE.

Lattice parameters (Å, degrees): 5.5815 5.5815 9.8194 90.00 90.00 120.00
Closest atoms and distances in Å follow each position.
Space group P-31c (No. 163)
Asymmetric unit:
Np  0.0000  0.0000  0.0000 (multiplicity 2)  6 O 2.27
U  0.3333  0.6667  0.2500 (multiplicity 2)  6 O 2.17
In  0.3333  0.6667  0.7500 (multiplicity 2)  6 O 2.22
O  0.0066  0.3379  0.1315 (multiplicity 12)  1 U 2.17, 1 In 2.22, 1 Np 2.27

Mass density   8.6 g/cm3
Calculated volume   14.7 Å³ per atom
Total magnetic moment   8.00 Bohr magnetons per cell
Energy relative to the elements, uncorrected   -2.60 eV per atom
Energy   -0.65405 Ry per atom
Crystal system   trigonal

---

Entry 9:
Here is an optimized crystal structure of Y2NpInO8 from Alexandria via LeMat-Bulk. Energies are from PBE.

Lattice parameters (Å, degrees): 5.0346 6.9945 5.0354 90.00 92.78 90.00
Closest atoms and distances in Å follow each position.
Space group P2/m (No. 10)
Asymmetric unit:
Y  0.0000  0.2418  0.0000 (multiplicity 2)  6 O 2.21-2.32
Np  0.5000  0.5000  0.5000 (multiplicity 1)  6 O 2.01-2.05
In  0.5000  0.0000  0.5000 (multiplicity 1)  2 O 2.05
O  0.2045  0.0000  0.2055 (multiplicity 2)  1 In 2.05, 2 Y 2.21
O  0.2093  0.5000  0.2109 (multiplicity 2)  1 Np 2.01
O  0.3163  0.2795  0.6850 (multiplicity 4)  1 Np 2.05

Mass density   6.2 g/cm3
Calculated volume   14.8 Å³ per atom
Total magnetic moment   0.00 Bohr magnetons per cell
Energy relative to the elements, uncorrected   -2.73 eV per atom
Energy   -0.61877 Ry per atom
Crystal system   monoclinic

---

Entry 10:
Here is an optimized crystal structure of YNpIn2O8 from Alexandria via LeMat-Bulk. Energies are from PBE.

Lattice parameters (Å, degrees): 7.0681 7.1858 6.7920 90.00 90.00 90.00
Closest atoms and distances in Å follow each position.
Space group Cmmm (No. 65)
Asymmetric unit:
Y  0.0000  0.0000  0.0000 (multiplicity 2)  6 O 2.19-2.31
Np  0.0000  0.0000  0.5000 (multiplicity 2)  6 O 2.00-2.11
In  0.0000  0.5000  0.2441 (multiplicity 4)  6 O 2.14-2.28
O  0.0000  0.1842  0.2790 (multiplicity 8)  1 Np 2.00
O  0.1906  0.5000  0.0000 (multiplicity 4)  2 In 2.14, 1 Y 2.19
O  0.2021  0.5000  0.5000 (multiplicity 4)  1 Np 2.11, 2 In 2.25

Mass density   6.6 g/cm3
Calculated volume   14.4 Å³ per atom
Total magnetic moment   0.15 Bohr magnetons per cell
Energy relative to the elements, uncorrected   -2.30 eV per atom
Energy   -0.56403 Ry per atom
Crystal system   orthorhombic

---

Which of these has the lowest mass density? Y2NpInO8